1.
A plane-wave DFT calculation with PBE was carried out for a relaxed Sc3Ag2Pd crystal.

For the total magnetization, the calculation gives 0.0 μB per cell. The calculation puts the calculated density at 6.47 g/cm³. For the total energy, the calculation gives -5.46 eV per atom.

It has space group P4/mmm (No. 123), with a = 3.394 Å, b = 3.394 Å, c = 10.181 Å, α = 90.00°, β = 90.00° and γ = 90.00°. The asymmetric unit holds Sc at (0.000, 0.000, 0.000), Sc at (0.000, 0.000, 0.343), Ag at (0.500, 0.500, 0.171) and Pd at (0.500, 0.500, 0.500).

---

2.
A plane-wave DFT calculation with PBE was carried out for a relaxed Ta2OsSe crystal.

For the total magnetization, the calculation gives 0.0 μB per cell. The calculation puts the calculated density at 15.61 g/cm³. For the uncorrected formation energy, the calculation gives 0.15 eV per atom.

It has space group Pmmm (No. 47), with a = 3.221 Å, b = 4.329 Å, c = 4.813 Å, α = 90.00°, β = 90.00° and γ = 90.00°. The asymmetric unit holds Ta at (0.000, 0.000, 0.000), Ta at (0.500, 0.000, 0.500), Os at (0.000, 0.500, 0.500) and Se at (0.500, 0.500, 0.000).

---

3.
A plane-wave DFT calculation with PBE was carried out for a relaxed Pm2HoScSb4 crystal.

For the total magnetization, the calculation gives 0.0 μB per cell. The calculation puts the calculated density at 6.88 g/cm³. For the uncorrected formation energy, the calculation gives -1.09 eV per atom.

It has space group P2/m (No. 10), with a = 7.580 Å, b = 4.391 Å, c = 7.599 Å, α = 90.00°, β = 109.54° and γ = 90.00°. The asymmetric unit holds Pm at (0.000, 0.000, 0.000), Pm at (0.000, 0.500, 0.500), Ho at (0.500, 0.000, 0.500), Sc at (0.500, 0.500, 0.000), Sb at (0.263, 0.500, 0.248) and Sb at (0.267, 0.000, 0.762).

---

4.
A plane-wave DFT calculation with PBE was carried out for a relaxed Mg3AlGa crystal.

For the total magnetization, the calculation gives 0.0 μB per cell. The calculation puts the energy relative to the lowest polymorph listed for this composition at 353.1 meV/atom. The calculation puts the calculated density at 2.20 g/cm³.

It has space group Pm-3m (No. 221), with a = 5.039 Å, b = 5.039 Å, c = 5.039 Å, α = 90.00°, β = 90.00° and γ = 90.00°. The asymmetric unit holds Mg at (0.000, 0.000, 0.500), Al at (0.500, 0.500, 0.500) and Ga at (0.000, 0.000, 0.000).

---

5.
A plane-wave DFT calculation with PBE was carried out for a relaxed Sm6In5Ag crystal.

For the total magnetization, the calculation gives 0.0 μB per cell. The calculation puts the energy relative to the lowest polymorph listed for this composition at 0.0 meV/atom. The calculation puts the calculated density at 7.87 g/cm³.

It has space group Cmmm (No. 65), with a = 5.411 Å, b = 16.235 Å, c = 7.611 Å, α = 90.00°, β = 90.00° and γ = 90.00°. The asymmetric unit holds Sm at (0.000, 0.000, 0.245), Sm at (0.000, 0.336, 0.247), In at (0.000, 0.164, 0.000), In at (0.000, 0.167, 0.500), In at (0.000, 0.500, 0.500) and Ag at (0.000, 0.500, 0.000).

---

6.
A plane-wave DFT calculation with PBE was carried out for a relaxed ZnRuCl2 crystal.

For the total magnetization, the calculation gives 3.9 μB per cell. The calculation puts the energy relative to the lowest polymorph listed for this composition at 710.1 meV/atom. The calculation puts the calculated density at 5.15 g/cm³. For the uncorrected formation energy, the calculation gives 0.44 eV per atom.

It has space group I-4m2 (No. 119), with a = 3.582 Å, b = 3.582 Å, c = 11.921 Å, α = 90.00°, β = 90.00° and γ = 90.00°. The asymmetric unit holds Zn at (0.000, 0.000, 0.000), Ru at (0.000, 0.500, 0.250), Cl at (0.000, 0.000, 0.500) and Cl at (0.000, 0.500, 0.750).

---

7.
A plane-wave DFT calculation with PBE was carried out for a relaxed Sm3OsPb crystal.

For the total magnetization, the calculation gives 0.0 μB per cell. The calculation puts the calculated density at 8.69 g/cm³. For the total energy, the calculation gives -5.92 eV per atom.

It has space group Pm-3m (No. 221), with a = 5.454 Å, b = 5.454 Å, c = 5.454 Å, α = 90.00°, β = 90.00° and γ = 90.00°. The asymmetric unit holds Sm at (0.000, 0.000, 0.500), Os at (0.000, 0.000, 0.000) and Pb at (0.500, 0.500, 0.500).

---

8.
A plane-wave DFT calculation with PBE was carried out for a relaxed RbCa2Rh2 crystal.

For the total magnetization, the calculation gives 0.0 μB per cell. The calculation puts the calculated density at 4.97 g/cm³. For the total energy, the calculation gives -3.89 eV per atom.

It has space group P4/mbm (No. 127), with a = 8.743 Å, b = 8.743 Å, c = 3.249 Å, α = 90.00°, β = 90.00° and γ = 90.00°. The asymmetric unit holds Rb at (0.000, 0.000, 0.000), Ca at (0.139, 0.361, 0.500) and Rh at (0.148, 0.648, 0.000).

---

9.
A plane-wave DFT calculation with PBE was carried out for a relaxed NaSrTlZn crystal.

For the total magnetization, the calculation gives 0.0 μB per cell. The calculation puts the calculated density at 5.94 g/cm³. For the total energy, the calculation gives -1.79 eV per atom.

It has space group F-43m (No. 216), with a = 7.519 Å, b = 7.519 Å, c = 7.519 Å, α = 90.00°, β = 90.00° and γ = 90.00°. The asymmetric unit holds Na at (0.000, 0.000, 0.000), Sr at (0.250, 0.250, 0.250), Tl at (0.250, 0.250, 0.750) and Zn at (0.000, 0.000, 0.500).

---

10.
A plane-wave DFT calculation with PBE was carried out for a relaxed NbCu2Pd2 crystal.

For the total magnetization, the calculation gives 0.0 μB per cell. The calculation puts the energy relative to the lowest polymorph listed for this composition at 163.8 meV/atom. The calculation puts the calculated density at 9.76 g/cm³.

It has space group P4/mbm (No. 127), with a = 7.175 Å, b = 7.175 Å, c = 2.860 Å, α = 90.00°, β = 90.00° and γ = 90.00°. The asymmetric unit holds Nb at (0.000, 0.000, 0.000), Cu at (0.121, 0.379, 0.000) and Pd at (0.176, 0.676, 0.500).

---

11.
A plane-wave DFT calculation with PBE was carried out for a relaxed PmTcRu2O8 crystal.

For the total magnetization, the calculation gives 3.5 μB per cell. The calculation puts the calculated density at 6.50 g/cm³. For the uncorrected formation energy, the calculation gives -1.53 eV per atom.

It has space group Cmmm (No. 65), with a = 6.687 Å, b = 6.859 Å, c = 6.385 Å, α = 90.00°, β = 90.00° and γ = 90.00°. The asymmetric unit holds Pm at (0.000, 0.000, 0.000), Tc at (0.000, 0.000, 0.500), Ru at (0.000, 0.500, 0.261), O at (0.000, 0.294, 0.500), O at (0.000, 0.332, 0.000) and O at (0.208, 0.000, 0.287).

---

12.
A plane-wave DFT calculation with PBE was carried out for a relaxed Ce4PrIr4 crystal.

For the total magnetization, the calculation gives 0.4 μB per cell. The calculation puts the calculated density at 10.35 g/cm³. For the total energy, the calculation gives -7.76 eV per atom.

It has space group P4_2/n (No. 86, origin choice 2), with a = 9.147 Å, b = 9.147 Å, c = 5.640 Å, α = 90.00°, β = 90.00° and γ = 90.00°. The asymmetric unit holds Ce at (0.065, 0.645, 0.249), Pr at (0.250, 0.250, 0.250) and Ir at (0.055, 0.637, 0.749).

---

Question: The lowest calculated density belongs to which entry?
Answer: Mg3AlGa